Record 1
A geometry-optimized LiVAs structure, computed with GGA-PBE.

Properties
Calculated volume, Å³/cell: 92.63
Crystal system: monoclinic
Energy relative to the elements, eV/atom: -0.361
Uncorrected energy, eV per atom: -5.59
Energy above the most stable polymorph in this dataset, eV/atom: 0.215

Unit cell a=9.922 b=4.520 c=4.520 alpha=134.17 beta=135.24 gamma=44.76
Fractional positions:
Li1 0.780 0.151 0.849
Li2 0.947 0.287 0.713
As1 0.638 0.980 0.020
As2 0.191 0.691 0.309
V1 0.441 0.835 0.165
V2 0.252 0.339 0.661

---

Record 2
A geometry-optimized Ba2NaPrSe4 structure, computed with GGA-PBE.

Properties
Calculated volume, Å³/cell: 260.26
Energy relative to the elements, uncorrected, eV/atom: -1.81
Crystal system: monoclinic
Uncorrected energy, eV per atom: -4.80

Unit cell a=4.527 b=7.804 c=7.785 alpha=108.86 beta=90.00 gamma=90.00
Fractional positions:
Pr1 0.000 0.000 0.000
Ba1 0.500 0.000 0.500
Ba2 0.000 0.500 0.500
Se1 0.500 0.235 0.224
Se2 0.000 0.244 0.770
Se3 0.000 0.756 0.230
Se4 0.500 0.765 0.776
Na1 0.500 0.500 0.000

---

Record 3
A geometry-optimized PmY2Hf structure, computed with GGA-PBE.

Properties
Calculated volume, Å³/cell: 118.09
Crystal system: trigonal
Energy relative to the elements, eV/atom: 0.126
Uncorrected energy, eV per atom: -6.78
Energy above the most stable polymorph in this dataset, eV/atom: 0.000

Unit cell a=3.468 b=3.468 c=11.513 alpha=81.31 beta=81.31 gamma=59.99
Fractional positions:
Y1 0.077 0.077 0.769
Y2 0.256 0.256 0.231
Hf1 0.666 0.666 0.001
Pm1 0.500 0.500 0.500

---

Record 4
A geometry-optimized KGaAs2Br structure, computed with GGA-PBE.

Properties
Calculated volume, Å³/cell: 155.76
Energy relative to the elements, uncorrected, eV/atom: -0.12
Crystal system: tetragonal
Uncorrected energy, eV per atom: -3.14
Energy above the most stable polymorph in this dataset, eV/atom: 0.000

Unit cell a=4.891 b=4.891 c=6.510 alpha=90.00 beta=90.00 gamma=90.00
Fractional positions:
Br1 0.000 0.000 0.500
Ga1 0.000 0.000 0.000
K1 0.500 0.500 0.500
As1 0.000 0.500 0.000
As2 0.500 0.000 0.000

---

What is the uncorrected energy in the third record? -6.78 eV per atom

---

Look up the uncorrected energy of the fourth one. -3.14 eV per atom

---

Which formula does entry 1 have? LiVAs

---

Look up the calculated volume of the first one. 92.63 Å³/cell